# VTePd (PBE, relaxed)
data_VTePd
_chemical_formula_sum 'V2 Te2 Pd2'
_cell_length_a 3.205
_cell_length_b 3.205
_cell_length_c 13.095
_cell_angle_alpha 90.00
_cell_angle_beta 90.00
_cell_angle_gamma 90.00
_symmetry_space_group_name_H-M 'I 4 m m'
_symmetry_Int_Tables_number 107
_symmetry_space_group_name_Hall 'I 4 -2'
loop_
_atom_site_label
_atom_site_type_symbol
_atom_site_fract_x
_atom_site_fract_y
_atom_site_fract_z
_atom_site_occupancy
V1 V 0.000 0.000 0.000 1
Te1 Te 0.000 0.000 0.391 1
Pd1 Pd 0.000 0.000 0.174 1
# - raw formation energy (eV/atom) = 0.4190